Entry 1:
# TmPuH

A geometry-optimized TmPuH structure (PBE-GGA, the Alexandria database).

a = 3.4392 Å, b = 3.4392 Å, c = 5.6845 Å
α = 90.00°, β = 90.00°, γ = 120.00°
Space group P3m1 (No. 156)
Unique sites:
1 Tm 0.0000 0.0000 0.0000 x1
2 Pu 0.6667 0.3333 0.5055 x1
3 H 0.3333 0.6667 0.7639 x1

Values from the calculation:
N(E_F): 8.17 states/eV/f.u.
Final energy: -7.4945 eV/atom
Total magnetic moment: 6.035 μB/f.u.

***

Entry 2:
# NbAlAsSe2

A geometry-optimized NbAlAsSe2 structure (PBE-GGA, the Alexandria database).

a = 5.051 Å, b = 5.051 Å, c = 5.090 Å
α = 90.00°, β = 90.00°, γ = 90.00°
Space group P4/mmm (No. 123)
Unique sites:
1 Nb 0.000 0.000 0.000 x1
2 Al 0.500 0.500 0.500 x1
3 As 0.000 0.000 0.500 x1
4 Se 0.000 0.500 0.000 x2

Values from the calculation:
Polymorph energy (0 for the lowest one): 0.0000 eV per atom
N(E_F): 2.16 states/eV/f.u.
Uncorrected formation energy: 0.065 eV/atom
Final energy: -5.0213 eV/atom
Total magnetic moment: 0.000 μB/f.u.

***

Entry 3:
# Zn5NiRh4

A geometry-optimized Zn5NiRh4 structure (PBE-GGA, the Alexandria database).

a = 3.016 Å, b = 3.016 Å, c = 14.886 Å
α = 90.00°, β = 90.00°, γ = 90.00°
Space group P4/mmm (No. 123)
Unique sites:
1 Zn 0.000 0.000 0.000 x1
2 Zn 0.000 0.000 0.204 x2
3 Zn 0.000 0.000 0.407 x2
4 Ni 0.500 0.500 0.500 x1
5 Rh 0.500 0.500 0.102 x2
6 Rh 0.500 0.500 0.307 x2

Values from the calculation:
N(E_F): 7.62 states/eV/f.u.
Final energy: -4.5158 eV/atom
Total magnetic moment: 0.000 μB/f.u.